Version A
A relaxed ScPa2Re crystal. Source: Alexandria via LeMat-Bulk, functional GGA-PBE.

Results
- M_tot (μB/f.u.) = 0.0

a = 3.6630 Å, b = 3.6630 Å, c = 6.8812 Å
α = 90.00°, β = 90.00°, γ = 90.00°
With the nearest neighbours (Å) after each atom.
Fractional positions:
Sc  0.5000  0.5000  0.5000  8 Pa 3.28, 2 Re 3.44, 4 Sc 3.66
Re  0.5000  0.5000  0.0000  8 Pa 2.95
Pa  0.0000  0.0000  0.7935  1 Pa 2.84, 4 Re 2.95
Pa  0.0000  0.0000  0.2065  1 Pa 2.84, 4 Re 2.95

=====

Version B
A relaxed ScPa2Re crystal. Source: Alexandria via LeMat-Bulk, functional GGA-PBE.

Results
- M_tot (μB/f.u.) = 0.0

a = 4.9928 Å, b = 4.9928 Å, c = 4.9928 Å
α = 60.00°, β = 60.00°, γ = 60.00°
With the nearest neighbours (Å) after each atom.
Fractional positions:
Sc  0.5000  0.5000  0.5000  8 Pa 3.06
Re  0.0000  0.0000  0.0000  8 Pa 3.06
Pa  0.2500  0.2500  0.2500  4 Re 3.06, 4 Sc 3.06
Pa  0.7500  0.7500  0.7500  4 Sc 3.06, 4 Re 3.06

=====

The winner here is version A, beating the second structure by 8.4 kJ/mol of atoms.

=====

Version A
A relaxed SmPaRe crystal. Source: Alexandria via LeMat-Bulk, functional GGA-PBE.

Results
- M_tot (μB/f.u.) = 0.0

a = 3.5123 Å, b = 3.5123 Å, c = 6.2195 Å
α = 106.40°, β = 106.40°, γ = 90.00°
With the nearest neighbours (Å) after each atom.
Fractional positions:
Re  0.3109  0.3109  0.6218  4 Pa 2.82
Pa  0.6941  0.6941  0.3883  4 Re 2.82
Sm  0.9950  0.9950  0.9899  5 Re 3.25-3.60, 5 Pa 3.37-3.43, 4 Sm 3.51

=====

Version B
A relaxed SmPaRe crystal. Source: Alexandria via LeMat-Bulk, functional GGA-PBE.

Results
- M_tot (μB/f.u.) = 0.0

a = 4.4196 Å, b = 4.4196 Å, c = 4.7796 Å
α = 90.00°, β = 90.00°, γ = 120.00°
With the nearest neighbours (Å) after each atom.
Fractional positions:
Re  0.3333  0.6667  0.5244  3 Pa 2.56
Pa  0.6667  0.3333  0.4849  3 Re 2.56
Sm  0.0000  0.0000  0.9907  6 Re 3.39-3.61, 6 Pa 3.48-3.51

=====

The winner here is version A, beating the second structure by 19.2 kJ/mol of atoms.